Computed, not measured: a relaxed structure of FeAg2Ir at the GGA-PBEsol level of DFT.

Values from the calculation:
* DFT formation energy: 262 meV/atom
* symmetry: Cmm2 (35)

Cell and atoms, written as CIF:
```
data_FeAg2Ir
_cell_length_a 2.6912
_cell_length_b 2.6912
_cell_length_c 9.2467
_cell_angle_alpha 90.00
_cell_angle_beta 90.00
_cell_angle_gamma 117.31
_symmetry_space_group_name_H-M 'P 1'
_symmetry_Int_Tables_number 1
_symmetry_space_group_name_Hall 'P 1'
loop_
_atom_site_label
_atom_site_fract_x
_atom_site_fract_y
_atom_site_fract_z
Ag1 0.0000 0.0000 0.0033
Ag2 0.5000 0.5000 0.7377
Fe1 0.0000 0.0000 0.4906
Ir1 0.5000 0.5000 0.2685
```